The following is a GGA-PBEsol calculation of a geometry-optimized LaSbRu structure, from Alexandria.

Lattice parameters (Å, degrees): 4.1179 4.4997 4.4997 120.00 90.00 90.00
Element x y z (fractional)
La  0.0000  0.0000  0.0000
Ru  0.4999  0.3333  0.6667
Sb  0.5001  0.6667  0.3333

Magnetization (μB/f.u.): 0.003
ρ (g cm⁻³): 8.3
E_form (uncorrected) (eV/f.u.): -1.43
Space group: P-6m2 (187)

The following is a GGA-PBEsol calculation of a geometry-optimized YCoSe2 structure, from Alexandria.

Lattice parameters (Å, degrees): 3.5706 3.5706 8.1995 77.42 77.42 60.00
Element x y z (fractional)
Y  0.0000  0.0000  0.0000
Co  0.5000  0.5000  0.5000
Se  0.8829  0.8829  0.3512
Se  0.1171  0.1171  0.6488

Magnetization (μB/f.u.): 0.000
ρ (g cm⁻³): 5.8
E_form (uncorrected) (eV/f.u.): -1.63
Space group: R-3m (166)

The following is a GGA-PBEsol calculation of a geometry-optimized MnZnIn2Br structure, from Alexandria.

Lattice parameters (Å, degrees): 4.4857 5.7747 5.7747 90.00 90.00 90.00
Each line ends with the local moment (μB).
Element x y z (fractional)
Zn  0.5000  0.5000  0.5000  -0.01
Mn  0.5000  0.0000  0.0000  3.40
Br  0.0000  0.0000  0.0000  0.01
In  0.0000  0.0000  0.5000  -0.05
In  0.0000  0.5000  0.0000  -0.05

Magnetization (μB/f.u.): 3.154
ρ (g cm⁻³): 4.8
E_form (uncorrected) (eV/f.u.): 4.24
Space group: P4/mmm (123)

The following is a GGA-PBEsol calculation of a geometry-optimized MgN2Cl structure, from Alexandria.

Lattice parameters (Å, degrees): 4.4115 4.4115 6.2127 110.80 110.80 90.00
Element x y z (fractional)
Mg  0.7500  0.2500  0.5000
Mg  0.5000  0.5000  0.0000
N  0.3465  0.8750  0.2500
N  0.9035  0.3750  0.2500
N  0.1250  0.0965  0.7500
N  0.6250  0.6535  0.7500
Cl  0.2500  0.7500  0.5000
Cl  0.0000  0.0000  0.0000

Magnetization (μB/f.u.): 0.000
ρ (g cm⁻³): 2.8
E_form (uncorrected) (eV/f.u.): 4.44
ΔE to the lowest computed polymorph (eV/atom): 0.407
Space group: I-42d (122)

The following is a GGA-PBEsol calculation of a geometry-optimized AlGa2Pd2 structure, from Alexandria.

Lattice parameters (Å, degrees): 3.5068 3.5068 6.8607 104.81 104.81 90.00
Element x y z (fractional)
Ga  0.2500  0.7500  0.5000
Ga  0.7500  0.2500  0.5000
Pd  0.3965  0.3965  0.7930
Pd  0.6035  0.6035  0.2070
Al  0.0000  0.0000  0.0000

Magnetization (μB/f.u.): 0.000
ρ (g cm⁻³): 8.0
Formation enthalpy at 0 K (eV per atom): -0.417
Space group: I4/mmm (139)

The following is a GGA-PBEsol calculation of a geometry-optimized Cr2NiAu structure, from Alexandria.

Lattice parameters (Å, degrees): 2.5927 3.7617 5.1577 90.00 90.00 90.00
Element x y z (fractional)
Au  0.5000  0.5000  0.5000
Cr  0.0000  0.0000  0.8002
Cr  0.0000  0.0000  0.1998
Ni  0.5000  0.5000  0.0000

Magnetization (μB/f.u.): 0.004
ρ (g cm⁻³): 11.9
Formation enthalpy at 0 K (eV per atom): 0.210
ΔE to the lowest computed polymorph (eV/atom): 0.007
Space group: Pmmm (47)

The highest magnetization belongs to which entry? MnZnIn2Br

Which of these has the lowest ρ? MgN2Cl

Which value of ρ does entry 5 give? 8.0 g cm⁻³

Among the records above, which one has the highest ρ? Cr2NiAu